Record 1
A plane-wave DFT calculation with SCAN was carried out for TlCu2Te at its PBEsol-relaxed geometry.

```
4
Lattice="-2.095 2.749 3.455 2.095 -2.749 3.455 2.095 2.749 -3.455" Properties=species:S:1:pos:R:3 pbc="T T T"
Tl 0.000 0.000 0.000
Cu 2.095 0.000 1.737
Cu 0.000 2.749 1.718
Te 0.000 0.000 3.455
```

Total magnetization: 0.0 μB per formula unit
Uncorrected formation energy: 0.32 eV per atom
Space group: No. 71

=====

Record 2
A plane-wave DFT calculation with SCAN was carried out for TlCu2Te2 at its PBEsol-relaxed geometry.

```
5
Lattice="-1.956 1.956 7.641 1.956 -1.956 7.641 1.956 1.956 -7.641" Properties=species:S:1:pos:R:3 pbc="T T T"
Tl 0.000 0.000 0.000
Cu 1.956 0.000 3.820
Cu 0.000 1.956 3.820
Te 0.000 0.000 5.531
Te 0.000 0.000 9.751
```

Total magnetization: 0.0 μB per formula unit
Uncorrected formation energy: -0.17 eV per atom
Space group: No. 139

=====

Record 3
A plane-wave DFT calculation with SCAN was carried out for Tl2CuTe at its PBEsol-relaxed geometry.

```
4
Lattice="2.090 1.207 6.981 -2.090 1.207 6.981 0.000 -2.413 6.981" Properties=species:S:1:pos:R:3 pbc="T T T"
Tl 0.000 0.000 0.000
Tl 0.000 0.000 4.705
Cu 0.000 0.000 10.161
Te 0.000 0.000 16.194
```

Total magnetization: 0.0 μB per formula unit
Uncorrected formation energy: -0.04 eV per atom
Space group: No. 160

=====

Record 4
A plane-wave DFT calculation with SCAN was carried out for CuTeW2 at its PBEsol-relaxed geometry.

```
4
Lattice="2.920 0.000 0.000 0.000 4.413 0.000 -0.841 0.000 5.095" Properties=species:S:1:pos:R:3 pbc="T T T"
Cu 0.000 0.000 0.000
Te 1.039 0.000 2.548
W 0.153 2.207 3.912
W 1.926 2.207 1.183
```

Total magnetization: 0.0 μB per formula unit
Uncorrected formation energy: 0.88 eV per atom
Space group: No. 10

=====

Repeat the third record exactly.
A plane-wave DFT calculation with SCAN was carried out for Tl2CuTe at its PBEsol-relaxed geometry.

```
4
Lattice="2.090 1.207 6.981 -2.090 1.207 6.981 0.000 -2.413 6.981" Properties=species:S:1:pos:R:3 pbc="T T T"
Tl 0.000 0.000 0.000
Tl 0.000 0.000 4.705
Cu 0.000 0.000 10.161
Te 0.000 0.000 16.194
```

Total magnetization: 0.0 μB per formula unit
Uncorrected formation energy: -0.04 eV per atom
Space group: No. 160

=====

- Look up the uncorrected formation energy of the second one.
  -0.17 eV per atom

=====

- Which of these has the highest uncorrected formation energy?
  CuTeW2